Below is ZnCd2 after structural relaxation, with properties calculated at the PBE-GGA level.

```
ZnCd2
1.0
0.000 4.074 4.074
4.074 0.000 4.074
4.074 4.074 0.000
Zn Cd
2 4
direct
0.125 0.125 0.125
0.875 0.875 0.875
0.000 0.500 0.500
0.500 0.000 0.500
0.500 0.500 0.000
0.500 0.500 0.500
```

## Properties
As for the final energy: -0.795 eV/atom. Its formation energy from the elements is 23 kJ/mol of atoms.